1.
DFT (PBE) results for a relaxed Pu2TcIr crystal.

CIF file:
```
data_Pu2TcIr
_chemical_formula_sum 'Pu6 Tc3 Ir3'
_cell_length_a 2.881
_cell_length_b 2.881
_cell_length_c 30.594
_cell_angle_alpha 90.00
_cell_angle_beta 90.00
_cell_angle_gamma 120.00
_space_group_name_H-M_alt 'P 1'
_space_group_IT_number 1
_space_group_name_Hall 'P 1'
loop_
_atom_site_label
_atom_site_type_symbol
_atom_site_fract_x
_atom_site_fract_y
_atom_site_fract_z
_atom_site_occupancy
Pu1 Pu 0.000 0.000 0.084 1
Pu2 Pu 0.000 0.000 0.916 1
Pu3 Pu 0.333 0.667 0.582 1
Pu4 Pu 0.333 0.667 0.751 1
Pu5 Pu 0.667 0.333 0.249 1
Pu6 Pu 0.667 0.333 0.418 1
Tc1 Tc 0.000 0.000 0.000 1
Tc2 Tc 0.333 0.667 0.667 1
Tc3 Tc 0.667 0.333 0.333 1
Ir1 Ir 0.000 0.000 0.500 1
Ir2 Ir 0.333 0.667 0.167 1
Ir3 Ir 0.667 0.333 0.833 1
```

Output
Density ... 17.633 g/cm³
Space-group type ... R-3m (166)
Formation energy from the elements ... 0.32 eV per atom

2.
DFT (PBE) results for a relaxed Rb2MgUTe5 crystal.

CIF file:
```
data_Rb2MgUTe5
_chemical_formula_sum 'Rb4 Mg2 U2 Te10'
_cell_length_a 11.173
_cell_length_b 11.173
_cell_length_c 15.572
_cell_angle_alpha 90.00
_cell_angle_beta 90.00
_cell_angle_gamma 157.16
_space_group_name_H-M_alt 'P 1'
_space_group_IT_number 1
_space_group_name_Hall 'P 1'
loop_
_atom_site_label
_atom_site_type_symbol
_atom_site_fract_x
_atom_site_fract_y
_atom_site_fract_z
_atom_site_occupancy
Rb1 Rb 0.116 0.884 0.500 1
Rb2 Rb 0.129 0.871 0.133 1
Rb3 Rb 0.871 0.129 0.633 1
Rb4 Rb 0.884 0.116 0.000 1
Mg1 Mg 0.431 0.569 0.253 1
Mg2 Mg 0.569 0.431 0.753 1
U1 U 0.205 0.795 0.837 1
U2 U 0.795 0.205 0.337 1
Te1 Te 0.070 0.930 0.867 1
Te2 Te 0.289 0.711 0.465 1
Te3 Te 0.303 0.697 0.204 1
Te4 Te 0.334 0.666 0.820 1
Te5 Te 0.496 0.504 0.104 1
Te6 Te 0.504 0.496 0.604 1
Te7 Te 0.666 0.334 0.320 1
Te8 Te 0.697 0.303 0.704 1
Te9 Te 0.711 0.289 0.965 1
Te10 Te 0.930 0.070 0.367 1
```

Output
Density ... 4.716 g/cm³
Space-group type ... Cmc2_1 (36)
E_form (uncorrected) ... -0.734 eV per atom

3.
DFT (PBE) results for a relaxed ZrTi2Pb crystal.

CIF file:
```
data_ZrTi2Pb
_chemical_formula_sum 'Zr4 Ti8 Pb4'
_cell_length_a 7.756
_cell_length_b 7.756
_cell_length_c 5.815
_cell_angle_alpha 90.00
_cell_angle_beta 90.00
_cell_angle_gamma 90.00
_space_group_name_H-M_alt 'P 1'
_space_group_IT_number 1
_space_group_name_Hall 'P 1'
loop_
_atom_site_label
_atom_site_type_symbol
_atom_site_fract_x
_atom_site_fract_y
_atom_site_fract_z
_atom_site_occupancy
Zr1 Zr 0.000 0.000 0.000 1
Zr2 Zr 0.000 0.500 0.250 1
Zr3 Zr 0.500 0.000 0.750 1
Zr4 Zr 0.500 0.500 0.500 1
Ti1 Ti 0.248 0.250 0.625 1
Ti2 Ti 0.250 0.748 0.875 1
Ti3 Ti 0.250 0.752 0.375 1
Ti4 Ti 0.252 0.250 0.125 1
Ti5 Ti 0.748 0.750 0.125 1
Ti6 Ti 0.750 0.248 0.375 1
Ti7 Ti 0.750 0.252 0.875 1
Ti8 Ti 0.752 0.750 0.625 1
Pb1 Pb 0.000 0.000 0.500 1
Pb2 Pb 0.000 0.500 0.750 1
Pb3 Pb 0.500 0.000 0.250 1
Pb4 Pb 0.500 0.500 0.000 1
```

Output
Density ... 7.484 g/cm³
Space-group type ... I-42d (122)
Formation energy from the elements ... 0.46 eV per atom

4.
DFT (PBE) results for a relaxed Ca3YTa crystal.

CIF file:
```
data_Ca3YTa
_chemical_formula_sum 'Ca3 Y1 Ta1'
_cell_length_a 5.533
_cell_length_b 5.533
_cell_length_c 5.533
_cell_angle_alpha 90.00
_cell_angle_beta 90.00
_cell_angle_gamma 90.00
_space_group_name_H-M_alt 'P 1'
_space_group_IT_number 1
_space_group_name_Hall 'P 1'
loop_
_atom_site_label
_atom_site_type_symbol
_atom_site_fract_x
_atom_site_fract_y
_atom_site_fract_z
_atom_site_occupancy
Ca1 Ca 0.000 0.000 0.500 1
Ca2 Ca 0.000 0.500 0.000 1
Ca3 Ca 0.500 0.000 0.000 1
Y1 Y 0.000 0.000 0.000 1
Ta1 Ta 0.500 0.500 0.500 1
```

Output
Density ... 3.825 g/cm³
Space-group type ... Pm-3m (221)
Excess energy over the best structure of this formula in the dataset ... 782.1 meV per atom
Formation energy from the elements ... 1.79 eV per atom

5.
DFT (PBE) results for a relaxed Ac4Ge2Pb crystal.

CIF file:
```
data_Ac4Ge2Pb
_chemical_formula_sum 'Ac8 Ge4 Pb2'
_cell_length_a 8.636
_cell_length_b 8.636
_cell_length_c 8.636
_cell_angle_alpha 109.37
_cell_angle_beta 109.37
_cell_angle_gamma 109.68
_space_group_name_H-M_alt 'P 1'
_space_group_IT_number 1
_space_group_name_Hall 'P 1'
loop_
_atom_site_label
_atom_site_type_symbol
_atom_site_fract_x
_atom_site_fract_y
_atom_site_fract_z
_atom_site_occupancy
Ac1 Ac 0.112 0.498 0.743 1
Ac2 Ac 0.118 0.004 0.757 1
Ac3 Ac 0.248 0.362 0.243 1
Ac4 Ac 0.502 0.246 0.614 1
Ac5 Ac 0.632 0.888 0.386 1
Ac6 Ac 0.638 0.882 0.886 1
Ac7 Ac 0.754 0.368 0.257 1
Ac8 Ac 0.996 0.752 0.114 1
Ge1 Ge 0.375 0.001 0.126 1
Ge2 Ge 0.751 0.625 0.626 1
Ge3 Ge 0.875 0.249 0.874 1
Ge4 Ge 0.999 0.125 0.374 1
Pb1 Pb 0.250 0.750 0.500 1
Pb2 Pb 0.500 0.500 0.000 1
```

Output
Density ... 8.444 g/cm³
Space-group type ... I-42d (122)
Excess energy over the best structure of this formula in the dataset ... 0.0 meV per atom
Formation energy from the elements ... -0.64 eV per atom

6.
DFT (PBE) results for a relaxed Er4TePt crystal.

CIF file:
```
data_Er4TePt
_chemical_formula_sum 'Er16 Te4 Pt4'
_cell_length_a 8.222
_cell_length_b 3.919
_cell_length_c 19.435
_cell_angle_alpha 90.00
_cell_angle_beta 90.00
_cell_angle_gamma 90.00
_space_group_name_H-M_alt 'P 1'
_space_group_IT_number 1
_space_group_name_Hall 'P 1'
loop_
_atom_site_label
_atom_site_type_symbol
_atom_site_fract_x
_atom_site_fract_y
_atom_site_fract_z
_atom_site_occupancy
Er1 Er 0.015 0.250 0.069 1
Er2 Er 0.043 0.750 0.216 1
Er3 Er 0.138 0.750 0.652 1
Er4 Er 0.142 0.750 0.449 1
Er5 Er 0.358 0.250 0.949 1
Er6 Er 0.362 0.250 0.152 1
Er7 Er 0.457 0.250 0.716 1
Er8 Er 0.485 0.750 0.569 1
Er9 Er 0.515 0.250 0.431 1
Er10 Er 0.543 0.750 0.284 1
Er11 Er 0.638 0.750 0.848 1
Er12 Er 0.642 0.750 0.051 1
Er13 Er 0.858 0.250 0.551 1
Er14 Er 0.862 0.250 0.348 1
Er15 Er 0.957 0.250 0.784 1
Er16 Er 0.985 0.750 0.931 1
Te1 Te 0.243 0.250 0.314 1
Te2 Te 0.257 0.750 0.814 1
Te3 Te 0.743 0.250 0.186 1
Te4 Te 0.757 0.750 0.686 1
Pt1 Pt 0.228 0.250 0.551 1
Pt2 Pt 0.272 0.750 0.051 1
Pt3 Pt 0.728 0.250 0.949 1
Pt4 Pt 0.772 0.750 0.449 1
```

Output
Density ... 10.517 g/cm³
Space-group type ... Pnma (62)
Excess energy over the best structure of this formula in the dataset ... 0.0 meV per atom
E_form (uncorrected) ... -0.915 eV per atom

7.
DFT (PBE) results for a relaxed Ta2Nb5Al crystal.

CIF file:
```
data_Ta2Nb5Al
_chemical_formula_sum 'Ta4 Nb10 Al2'
_cell_length_a 4.677
_cell_length_b 4.677
_cell_length_c 13.201
_cell_angle_alpha 90.00
_cell_angle_beta 90.00
_cell_angle_gamma 90.00
_space_group_name_H-M_alt 'P 1'
_space_group_IT_number 1
_space_group_name_Hall 'P 1'
loop_
_atom_site_label
_atom_site_type_symbol
_atom_site_fract_x
_atom_site_fract_y
_atom_site_fract_z
_atom_site_occupancy
Ta1 Ta 0.000 0.000 0.250 1
Ta2 Ta 0.000 0.000 0.750 1
Ta3 Ta 0.500 0.500 0.250 1
Ta4 Ta 0.500 0.500 0.750 1
Nb1 Nb 0.000 0.000 0.000 1
Nb2 Nb 0.000 0.500 0.126 1
Nb3 Nb 0.000 0.500 0.374 1
Nb4 Nb 0.000 0.500 0.626 1
Nb5 Nb 0.000 0.500 0.874 1
Nb6 Nb 0.500 0.000 0.126 1
Nb7 Nb 0.500 0.000 0.374 1
Nb8 Nb 0.500 0.000 0.626 1
Nb9 Nb 0.500 0.000 0.874 1
Nb10 Nb 0.500 0.500 0.500 1
Al1 Al 0.000 0.000 0.500 1
Al2 Al 0.500 0.500 0.000 1
```

Output
Density ... 9.815 g/cm³
Space-group type ... I4/mmm (139)
Formation energy from the elements ... -0.06 eV per atom

8.
DFT (PBE) results for a relaxed Li2CaAg3 crystal.

CIF file:
```
data_Li2CaAg3
_chemical_formula_sum 'Li4 Ca2 Ag6'
_cell_length_a 7.135
_cell_length_b 7.135
_cell_length_c 7.135
_cell_angle_alpha 108.62
_cell_angle_beta 90.69
_cell_angle_gamma 131.96
_space_group_name_H-M_alt 'P 1'
_space_group_IT_number 1
_space_group_name_Hall 'P 1'
loop_
_atom_site_label
_atom_site_type_symbol
_atom_site_fract_x
_atom_site_fract_y
_atom_site_fract_z
_atom_site_occupancy
Li1 Li 0.326 0.242 0.084 1
Li2 Li 0.342 0.758 0.584 1
Li3 Li 0.658 0.242 0.416 1
Li4 Li 0.674 0.758 0.916 1
Ca1 Ca 0.007 0.257 0.750 1
Ca2 Ca 0.993 0.743 0.250 1
Ag1 Ag 0.000 0.254 0.254 1
Ag2 Ag 0.000 0.746 0.746 1
Ag3 Ag 0.500 0.000 0.000 1
Ag4 Ag 0.500 0.254 0.754 1
Ag5 Ag 0.500 0.500 0.500 1
Ag6 Ag 0.500 0.746 0.246 1
```

Output
Density ... 5.171 g/cm³
Space-group type ... Imma (74)
Excess energy over the best structure of this formula in the dataset ... 11.0 meV per atom
Formation energy from the elements ... -0.21 eV per atom

9.
DFT (PBE) results for a relaxed NdErTlZn crystal.

CIF file:
```
data_NdErTlZn
_chemical_formula_sum 'Nd1 Er1 Tl1 Zn1'
_cell_length_a 3.699
_cell_length_b 3.699
_cell_length_c 7.566
_cell_angle_alpha 90.00
_cell_angle_beta 90.00
_cell_angle_gamma 90.00
_space_group_name_H-M_alt 'P 1'
_space_group_IT_number 1
_space_group_name_Hall 'P 1'
loop_
_atom_site_label
_atom_site_type_symbol
_atom_site_fract_x
_atom_site_fract_y
_atom_site_fract_z
_atom_site_occupancy
Nd1 Nd 0.000 0.000 0.000 1
Er1 Er 0.000 0.000 0.544 1
Tl1 Tl 0.500 0.500 0.287 1
Zn1 Zn 0.500 0.500 0.752 1
```

Output
Density ... 9.325 g/cm³
Space-group type ... P4mm (99)
Excess energy over the best structure of this formula in the dataset ... 0.0 meV per atom
Formation energy from the elements ... -0.35 eV per atom

10.
DFT (PBE) results for a relaxed CePrCl6 crystal.

CIF file:
```
data_CePrCl6
_chemical_formula_sum 'Ce1 Pr1 Cl6'
_cell_length_a 7.589
_cell_length_b 7.589
_cell_length_c 7.589
_cell_angle_alpha 54.78
_cell_angle_beta 54.78
_cell_angle_gamma 54.78
_space_group_name_H-M_alt 'P 1'
_space_group_IT_number 1
_space_group_name_Hall 'P 1'
loop_
_atom_site_label
_atom_site_type_symbol
_atom_site_fract_x
_atom_site_fract_y
_atom_site_fract_z
_atom_site_occupancy
Ce1 Ce 0.000 0.000 0.000 1
Pr1 Pr 0.500 0.500 0.500 1
Cl1 Cl 0.102 0.751 0.398 1
Cl2 Cl 0.249 0.602 0.898 1
Cl3 Cl 0.398 0.102 0.751 1
Cl4 Cl 0.602 0.898 0.249 1
Cl5 Cl 0.751 0.398 0.102 1
Cl6 Cl 0.898 0.249 0.602 1
```

Output
Density ... 3.019 g/cm³
Space-group type ... R-3 (148)
Excess energy over the best structure of this formula in the dataset ... 0.0 meV per atom
E_form (uncorrected) ... -2.204 eV per atom

11.
DFT (PBE) results for a relaxed LiTmTcRu crystal.

CIF file:
```
data_LiTmTcRu
_chemical_formula_sum 'Li4 Tm4 Tc4 Ru4'
_cell_length_a 6.368
_cell_length_b 6.368
_cell_length_c 6.368
_cell_angle_alpha 90.00
_cell_angle_beta 90.00
_cell_angle_gamma 90.00
_space_group_name_H-M_alt 'P 1'
_space_group_IT_number 1
_space_group_name_Hall 'P 1'
loop_
_atom_site_label
_atom_site_type_symbol
_atom_site_fract_x
_atom_site_fract_y
_atom_site_fract_z
_atom_site_occupancy
Li1 Li 0.000 0.000 0.000 1
Li2 Li 0.000 0.500 0.500 1
Li3 Li 0.500 0.000 0.500 1
Li4 Li 0.500 0.500 0.000 1
Tm1 Tm 0.250 0.250 0.250 1
Tm2 Tm 0.250 0.750 0.750 1
Tm3 Tm 0.750 0.250 0.750 1
Tm4 Tm 0.750 0.750 0.250 1
Tc1 Tc 0.000 0.000 0.500 1
Tc2 Tc 0.000 0.500 0.000 1
Tc3 Tc 0.500 0.000 0.000 1
Tc4 Tc 0.500 0.500 0.500 1
Ru1 Ru 0.250 0.250 0.750 1
Ru2 Ru 0.250 0.750 0.250 1
Ru3 Ru 0.750 0.250 0.250 1
Ru4 Ru 0.750 0.750 0.750 1
```

Output
Density ... 9.643 g/cm³
Space-group type ... F-43m (216)
Formation energy from the elements ... 0.06 eV per atom

no.,density of states at the Fermi level (states/eV/cell)
1,25.84
2,8.72
3,27.20
4,9.09
5,1.01
6,23.14
7,22.36
8,4.72
9,3.54
10,8.12
11,13.46